## U3Al5N12 (PBE-GGA)

Data for an optimized crystal structure of U3Al5N12.

Structure (extended XYZ):
```
80
Lattice="10.5329 0.0000 0.0000 -3.5110 9.9305 0.0000 -3.5110 -4.9652 8.6001" Properties=species:S:1:pos:R:3 pbc="T T T"
N -0.9355 -2.7298 6.1241
N 2.1784 3.6244 0.6980
N 5.3758 8.8114 0.3139
N -2.6910 8.4744 1.1261
N -0.8200 5.7446 3.6021
N -0.9355 3.5091 7.4740
N 7.8419 2.2354 2.4759
N -4.3309 2.7298 6.1241
N -1.8648 -3.8462 8.2862
N 3.9339 -1.3408 7.9021
N 6.5155 0.5576 3.9861
N -3.6203 7.1602 3.1739
N 4.4465 7.6950 2.4759
N 4.8435 4.8993 1.5102
N 6.2019 -3.5091 7.4740
N -3.9339 -0.0660 7.0899
N -0.5064 0.6907 1.8241
N 2.1784 6.2401 0.8122
N 6.9126 1.1191 0.3139
N 1.6462 6.6165 3.4878
N -1.8648 2.1949 5.4261
N -3.0046 4.4077 4.6139
N 7.4448 5.0312 1.5102
N 1.3325 -1.2749 7.7878
N -1.2491 -0.5576 3.9861
N 5.7728 -0.6907 1.8241
N -0.4229 3.6904 0.8122
N 3.0046 -1.2483 2.7898
N 4.7601 5.5228 4.6139
N 2.2618 1.2483 2.7898
N 0.9355 0.7793 4.9980
N -0.4229 6.3061 0.6980
N 1.3325 1.3408 7.9021
N 3.9339 1.2749 7.7878
N 3.4016 1.6512 5.1122
N -2.2618 5.6559 6.7760
N 0.1093 3.3140 3.4878
N 1.8648 -1.6512 5.1122
N 4.4465 1.4561 1.1261
N 4.0173 4.2746 6.7760
N 4.3309 -0.7793 4.9980
N 5.3758 2.7703 3.1739
N -3.4016 3.8462 8.2862
N 2.5755 4.1859 3.6021
N 0.5064 6.2135 5.8102
N 1.2491 3.7170 5.8102
N 7.1312 -2.1949 5.4261
N -1.3326 0.0660 7.0899
Al 2.6332 7.4479 2.1500
Al -1.7555 -2.4826 4.3000
Al -0.8777 8.0685 1.0750
Al -2.6332 5.5859 3.2250
Al 3.5110 4.9652 0.0000
Al 5.2664 0.0000 0.0000
Al 0.8777 -2.4826 6.4500
Al -0.8777 0.6207 5.3750
Al 4.3887 4.3446 3.2250
Al 2.6332 1.8620 1.0750
Al 4.3887 2.4826 6.4500
Al 1.7555 2.4826 4.3000
Al -1.7555 4.9652 0.0000
Al 0.0000 0.0000 0.0000
Al 3.5110 -2.4826 4.3000
Al -0.8777 2.4826 2.1500
Al 4.3887 -3.1033 7.5250
Al 6.1442 -0.6207 5.3750
Al -3.5110 2.4826 4.3000
Al 0.8777 3.1033 7.5250
U 4.3887 0.6207 3.2250
U -2.6332 1.8620 7.5250
U 6.1442 6.8272 1.0750
U -0.8777 4.3446 5.3750
U 6.1442 3.1033 1.0750
U -4.3887 4.9652 6.4500
U 0.8777 4.9652 2.1500
U -2.6332 -1.8620 7.5250
U 7.8997 0.0000 2.1500
U 2.6332 5.5859 5.3750
U 0.8777 -0.6207 3.2250
U 2.6332 0.0000 6.4500
```

SG = No. 230
Theoretical density = 7.5 g/cm3
Energy relative to the elements, uncorrected = -0.87 eV/atom
Crystal system = cubic


## UAlN (PBE-GGA)

Data for an optimized crystal structure of UAlN.

Structure (extended XYZ):
```
6
Lattice="3.4730 0.0000 0.0000 0.0000 3.4730 0.0000 0.0000 0.0000 8.3317" Properties=species:S:1:pos:R:3 pbc="T T T"
Al 0.0000 0.0000 0.0000
Al 1.7365 1.7365 0.0000
N 1.7365 0.0000 5.0426
N 0.0000 1.7365 3.2890
U 0.0000 1.7365 5.4870
U 1.7365 0.0000 2.8447
```

SG = No. 129
Theoretical density = 9.2 g/cm3
Energy relative to the elements, uncorrected = -0.54 eV/atom
Crystal system = tetragonal


## AlVN2 (PBE-GGA)

Data for an optimized crystal structure of AlVN2.

Structure (extended XYZ):
```
4
Lattice="2.8404 0.0000 0.0000 1.4202 2.4598 0.0000 1.4202 0.8199 4.9191" Properties=species:S:1:pos:R:3 pbc="T T T"
N 1.4202 0.8199 1.1485
N 4.2605 2.4598 3.7707
V 2.8404 1.6399 2.4596
Al 0.0000 0.0000 0.0000
```

SG = No. 166
Theoretical density = 5.1 g/cm3
Energy relative to the elements, uncorrected = -1.04 eV/atom
Crystal system = trigonal


## Al3VN (PBE-GGA)

Data for an optimized crystal structure of Al3VN.

Structure (extended XYZ):
```
5
Lattice="4.9369 0.0000 0.0000 0.0000 4.9369 0.0000 0.0000 0.0000 4.9369" Properties=species:S:1:pos:R:3 pbc="T T T"
Al 0.0000 0.0000 2.4685
Al 2.4685 0.0000 0.0000
Al 0.0000 2.4685 0.0000
N 2.4685 2.4685 2.4685
V 0.0000 0.0000 0.0000
```

E above lowest polymorph = 1628.8 meV per atom
SG = No. 221
Theoretical density = 2.0 g/cm3
Energy relative to the elements, uncorrected = 1.68 eV/atom
Crystal system = cubic


## Al2V3N (PBE-GGA)

Data for an optimized crystal structure of Al2V3N.

Structure (extended XYZ):
```
24
Lattice="6.6312 0.0000 0.0000 0.0000 6.6312 0.0000 0.0000 0.0000 6.6312" Properties=species:S:1:pos:R:3 pbc="T T T"
V 0.2850 5.8023 4.6884
V 5.2584 6.3462 2.4867
V 5.8023 4.6884 0.2850
V 3.0306 0.8289 1.3728
V 4.6884 0.2850 5.8023
V 0.8289 1.3728 3.0306
V 4.1445 1.9428 3.6006
V 3.6006 4.1445 1.9428
V 2.4867 5.2584 6.3462
V 1.3728 3.0306 0.8289
V 1.9428 3.6006 4.1445
V 6.3462 2.4867 5.2584
N 0.8289 4.1445 5.8023
N 4.1445 5.8023 0.8289
N 5.8023 0.8289 4.1445
N 2.4867 2.4867 2.4867
Al 4.5115 4.5115 4.5115
Al 5.4354 2.1198 1.1958
Al 6.1693 3.7776 2.8537
Al 1.1958 5.4354 2.1198
Al 0.4620 0.4620 0.4620
Al 3.7776 2.8537 6.1693
Al 2.8537 6.1693 3.7776
Al 2.1198 1.1958 5.4354
```

SG = No. 213
Theoretical density = 5.0 g/cm3
Energy relative to the elements, uncorrected = -0.62 eV/atom
Crystal system = cubic


## AlVN2 (PBE-GGA)

Data for an optimized crystal structure of AlVN2.

Structure (extended XYZ):
```
4
Lattice="-1.3596 5.8999 1.6160 -2.5906 4.3403 3.7040 0.2227 4.9537 3.8314" Properties=species:S:1:pos:R:3 pbc="T T T"
N -0.3934 1.6037 0.9659
N -3.3341 13.5902 8.1855
Al 0.0000 0.0000 0.0000
V -1.8638 7.5969 4.5757
```

SG = No. 166
Theoretical density = 4.0 g/cm3
Energy relative to the elements, uncorrected = -0.53 eV/atom
Crystal system = trigonal


## Al3V6N (PBE-GGA)

Data for an optimized crystal structure of Al3V6N.

Structure (extended XYZ):
```
10
Lattice="-5.1862 -3.7751 0.2664 0.8986 -3.3427 3.8539 -2.1241 0.8656 4.6446" Properties=species:S:1:pos:R:3 pbc="T T T"
Al -4.9694 -4.9112 7.1411
Al 0.0000 0.0000 0.0000
Al -1.4424 -1.3411 1.6239
V -1.8776 -2.4272 5.7402
V -4.5341 -3.8251 3.0248
V -3.2234 -1.3387 3.5693
V -3.1884 -4.9135 5.1957
V -1.6980 -3.4624 3.1702
V -4.7138 -2.7898 5.5947
N -3.2059 -3.1261 4.3825
```

SG = No. 12
Theoretical density = 4.7 g/cm3
Energy relative to the elements, uncorrected = -0.19 eV/atom
Crystal system = monoclinic


## AlVN2 (PBE-GGA)

Data for an optimized crystal structure of AlVN2.

Structure (extended XYZ):
```
16
Lattice="-2.9845 3.8926 1.0814 0.7086 -0.9629 5.4218 5.1266 3.9232 0.0268" Properties=species:S:1:pos:R:3 pbc="T T T"
N 3.6777 4.3460 3.6648
N 2.1555 3.9337 0.9478
N 0.8404 5.4574 3.2611
N -1.6780 3.6168 3.1735
N 2.5354 6.0019 5.9790
N 1.2200 2.4261 3.5551
N -0.4750 1.8816 0.8373
N -0.1559 4.0290 5.8905
V 0.2803 6.2292 1.5258
V -0.5502 1.9943 2.8127
V 1.9483 6.7530 4.2436
V 1.1179 2.5182 5.5304
Al 2.3298 0.9200 3.1580
Al 3.6414 4.5010 5.5525
Al 2.0030 3.9998 2.8349
Al 0.6914 0.4188 0.4404
```

SG = No. 33
Theoretical density = 3.9 g/cm3
Energy relative to the elements, uncorrected = -0.91 eV/atom
Crystal system = orthorhombic


- What is the theoretical density in the eighth record?
  3.9 g/cm3


- theoretical density of number 3 (AlVN2)?
  5.1 g/cm3


- The highest energy relative to the elements, uncorrected belongs to which entry?
  Al3VN